Record 1
Entry from Alexandria: a geometry-optimized Ag5Br12F3 structure (PBE).

Symmetry: No. 230
V: 27.583 Å³/atom
Calculated total energy: -159.1 eV per cell
DOS(E_F): 90.065 states/eV/cell

Cell lengths 14.205, 14.205, 14.205 Å; angles 109.47, 109.47, 109.47 degrees
Element x y z (fractional)
F1 0.750 0.375 0.125
F2 0.875 0.750 0.125
F3 0.375 0.750 0.625
F4 0.250 0.125 0.375
F5 0.875 0.125 0.250
F6 0.375 0.625 0.250
F7 0.625 0.375 0.750
F8 0.125 0.875 0.750
F9 0.750 0.875 0.625
F10 0.625 0.250 0.375
F11 0.125 0.250 0.875
F12 0.250 0.625 0.875
Ag1 0.125 0.375 0.250
Ag2 0.000 0.500 0.000
Ag3 0.000 0.000 0.000
Ag4 0.375 0.250 0.125
Ag5 0.500 0.000 0.500
Ag6 0.500 0.500 0.000
Ag7 0.125 0.750 0.375
Ag8 0.750 0.125 0.875
Ag9 0.750 0.625 0.375
Ag10 0.375 0.125 0.750
Ag11 0.625 0.875 0.250
Ag12 0.500 0.500 0.500
Ag13 0.500 0.000 0.000
Ag14 0.000 0.000 0.500
Ag15 0.250 0.375 0.625
Ag16 0.250 0.875 0.125
Ag17 0.000 0.500 0.500
Ag18 0.875 0.250 0.625
Ag19 0.625 0.750 0.875
Ag20 0.875 0.625 0.750
Br1 0.725 0.104 0.044
Br2 0.319 0.544 0.440
Br3 0.956 0.396 0.275
Br4 0.544 0.225 0.104
Br5 0.622 0.725 0.681
Br6 0.956 0.560 0.181
Br7 0.319 0.775 0.378
Br8 0.060 0.878 0.104
Br9 0.560 0.956 0.681
Br10 0.725 0.622 0.181
Br11 0.775 0.456 0.396
Br12 0.819 0.940 0.044
Br13 0.104 0.725 0.544
Br14 0.396 0.440 0.122
Br15 0.122 0.940 0.396
Br16 0.378 0.104 0.560
Br17 0.122 0.181 0.225
Br18 0.456 0.681 0.060
Br19 0.819 0.878 0.275
Br20 0.104 0.378 0.060
Br21 0.396 0.956 0.775
Br22 0.560 0.604 0.378
Br23 0.940 0.819 0.544
Br24 0.775 0.319 0.878
Br25 0.440 0.396 0.622
Br26 0.060 0.181 0.456
Br27 0.225 0.681 0.122
Br28 0.181 0.122 0.725
Br29 0.604 0.044 0.225
Br30 0.896 0.622 0.940
Br31 0.544 0.319 0.940
Br32 0.622 0.896 0.440
Br33 0.878 0.819 0.775
Br34 0.878 0.060 0.604
Br35 0.896 0.275 0.456
Br36 0.181 0.060 0.956
Br37 0.604 0.560 0.878
Br38 0.440 0.044 0.319
Br39 0.275 0.378 0.819
Br40 0.225 0.544 0.604
Br41 0.940 0.122 0.896
Br42 0.681 0.225 0.622
Br43 0.456 0.775 0.896
Br44 0.044 0.440 0.819
Br45 0.378 0.275 0.319
Br46 0.044 0.604 0.725
Br47 0.681 0.456 0.560
Br48 0.275 0.896 0.956


Record 2
Entry from Alexandria: a geometry-optimized AgBr2F structure (PBE).

ΔE to the lowest computed polymorph: 0.678 eV/f.u.
Symmetry: No. 166
V: 27.861 Å³/atom
Calculated total energy: -9.2 eV per cell
DOS(E_F): 0.763 states/eV/cell

Cell lengths 7.663, 7.663, 7.663 Å; angles 31.87, 31.87, 31.87 degrees
Element x y z (fractional)
Br1 0.901 0.901 0.901
Br2 0.099 0.099 0.099
Ag1 0.500 0.500 0.500
F1 0.000 0.000 0.000


| no. | formation energy without anion corrections (eV per atom) |
| --- | --- |
| 1 | 0.009 |
| 2 | -0.279 |